[1]
## LaHgRh (GGA-PBEsol)

Data for a relaxed structure of LaHgRh.

Results
The calculation puts the calculated formation energy at -0.484 eV per atom.

Cell lengths 6.660, 6.660, 6.660 Å; angles 90.00, 90.00, 90.00 degrees
Space group F-43m (No. 216)
Asymmetric unit:
1 La 0.000 0.000 0.000 (multiplicity 4)
2 Hg 0.000 0.000 0.500 (multiplicity 4)
3 Rh 0.250 0.250 0.750 (multiplicity 4)



[2]
## LaHg2Rh (GGA-PBEsol)

Data for a relaxed structure of LaHg2Rh.

Results
The calculation puts the calculated formation energy at -0.317 eV per atom.

Cell lengths 4.086, 4.086, 5.249 Å; angles 90.00, 90.00, 90.00 degrees
Space group P4/mmm (No. 123)
Asymmetric unit:
1 La 0.000 0.000 0.000 (multiplicity 1)
2 Hg 0.000 0.500 0.500 (multiplicity 2)
3 Rh 0.500 0.500 0.000 (multiplicity 1)



[3]
## LaHg2Rh (GGA-PBEsol)

Data for a relaxed structure of LaHg2Rh.

Results
The calculation puts the calculated formation energy at -0.417 eV per atom.

Cell lengths 3.915, 4.046, 11.488 Å; angles 90.00, 90.00, 90.00 degrees
Space group Amm2 (No. 38)
Asymmetric unit:
1 La 0.000 0.000 0.000 (multiplicity 2)
2 Hg 0.000 0.000 0.279 (multiplicity 2)
3 Hg 0.500 0.000 0.693 (multiplicity 2)
4 Rh 0.500 0.000 0.454 (multiplicity 2)



[4]
## LaSn2HgRh (GGA-PBEsol)

Data for a relaxed structure of LaSn2HgRh.

Results
The calculation puts the calculated formation energy at 0.822 eV per atom.

Cell lengths 6.024, 6.024, 4.718 Å; angles 90.00, 90.00, 90.00 degrees
Space group P4/mmm (No. 123)
Asymmetric unit:
1 La 0.000 0.000 0.000 (multiplicity 1)
2 Sn 0.000 0.500 0.000 (multiplicity 2)
3 Hg 0.500 0.500 0.500 (multiplicity 1)
4 Rh 0.000 0.000 0.500 (multiplicity 1)



[5]
## La3HgRu (GGA-PBEsol)

Data for a relaxed structure of La3HgRu.

Results
The calculation puts the calculated formation energy at -0.355 eV per atom.

Cell lengths 7.5700, 7.5700, 5.7276 Å; angles 90.00, 90.00, 120.00 degrees
Space group P6_3/m (No. 176)
Asymmetric unit:
1 La 0.1068 0.3552 0.2500 (multiplicity 6)
2 Hg 0.3333 0.6667 0.7500 (multiplicity 2)
3 Ru 0.0000 0.0000 0.0000 (multiplicity 2)



[6]
## LaHg2Ru (GGA-PBEsol)

Data for a relaxed structure of LaHg2Ru.

Results
The calculation puts the calculated formation energy at -0.106 eV per atom.

Cell lengths 3.841, 4.050, 11.502 Å; angles 90.00, 90.00, 90.00 degrees
Space group Amm2 (No. 38)
Asymmetric unit:
1 La 0.000 0.000 0.000 (multiplicity 2)
2 Hg 0.000 0.000 0.282 (multiplicity 2)
3 Hg 0.500 0.000 0.692 (multiplicity 2)
4 Ru 0.500 0.000 0.454 (multiplicity 2)